The following is a DFT calculation (PBE-GGA) of an optimized crystal structure of ZrTa2Be2.

The structure belongs to space group P4/mbm (No. 127); the cell edges are 6.7314, 6.7314 and 3.3420 Å and the angles 90.00°, 90.00° and 90.00°. The distinct sites, in fractional coordinates, are Zr at (0.0000, 0.0000, 0.0000), Ta at (0.1764, 0.3236, 0.5000) and Be at (0.1108, 0.6108, 0.0000).

The formation energy is -0.026 eV per atom.

***

The following is a DFT calculation (PBE-GGA) of an optimized crystal structure of ThZrSb.

The structure belongs to space group P4/nmm (No. 129, origin choice 2); the cell edges are 4.3038, 4.3038 and 9.5731 Å and the angles 90.00°, 90.00° and 90.00°. The distinct sites, in fractional coordinates, are Th at (0.2500, 0.2500, 0.2119), Zr at (0.2500, 0.2500, 0.5568) and Sb at (0.2500, 0.2500, 0.8708).

The calculation puts the formation energy (no corrections) at -356 meV per atom.

***

The following is a DFT calculation (PBE-GGA) of an optimized crystal structure of SmY2Ga.

The structure belongs to space group R3m (No. 160, hexagonal axes); the cell edges are 3.6422, 3.6422 and 30.7604 Å and the angles 90.00°, 90.00° and 120.00°. The distinct sites, in fractional coordinates, are Sm at (0.0000, 0.0000, 0.0000), Y at (0.0000, 0.0000, 0.5695), Y at (0.0000, 0.0000, 0.7630) and Ga at (0.0000, 0.0000, 0.1659).

The formation energy is -0.206 eV per atom.

***

> Number 2 is which compound?

ThZrSb